# MnFe2Ag

MnFe2Ag at its PBEsol-relaxed geometry (meta-GGA SCAN, the Alexandria database).

POSCAR file:
```
MnFe2Ag
1.0
3.630 0.000 0.000
0.000 3.630 0.000
-1.815 -1.815 3.831
Ag Fe Mn
1 2 1
direct
0.000 0.000 0.000
0.750 0.250 0.500
0.250 0.750 0.500
0.500 0.500 0.000
```

Summary:
Energy relative to the lowest polymorph listed for this composition   0 meV/atom
E   -21.260 eV/atom
Magnetization   1.394 μB per cell
Calculated formation energy   0.211 eV per atom